No. 1
Compound: Ni2AgMo
Source: Alexandria via LeMat-Bulk
Functional: PBE
Structure: relaxed

Calculated values
Calculated total energy ... -6.0198 eV per atom
ΔE_f ... 291 meV/atom
Polymorph energy (0 for the lowest one) ... 18.7 kJ per mole of atoms

Cell lengths 5.275, 5.275, 5.275 Å; angles 150.33, 129.88, 59.33 degrees
Element x y z (fractional)
Ni 0.000 0.000 0.000
Ni 0.779 0.279 0.500
Ag 0.261 0.761 0.500
Mo 0.547 0.547 0.000

=====

No. 2
Compound: Te2AuCl
Source: Alexandria via LeMat-Bulk
Functional: PBE
Structure: relaxed

Calculated values
Calculated total energy ... -2.9175 eV per atom
Raw formation energy ... -0.066 eV per atom

Cell lengths 8.481, 8.481, 8.481 Å; angles 27.56, 27.56, 27.56 degrees
Element x y z (fractional)
Te 0.000 0.000 0.000
Te 0.255 0.255 0.255
Au 0.521 0.521 0.521
Cl 0.795 0.795 0.795

=====

No. 3
Compound: NaInSb
Source: Alexandria via LeMat-Bulk
Functional: PBE
Structure: relaxed

Calculated values
Calculated total energy ... -2.8726 eV per atom
Raw formation energy ... -0.146 eV per atom

Cell lengths 5.914, 5.914, 5.914 Å; angles 139.98, 139.98, 57.88 degrees
Element x y z (fractional)
Na 0.000 0.000 0.000
In 0.687 0.687 0.000
Sb 0.319 0.319 0.000

=====

No. 4
Compound: KNa2CeCl8
Source: Alexandria via LeMat-Bulk
Functional: PBE
Structure: relaxed

Calculated values
Calculated total energy ... -3.7349 eV per atom
Raw formation energy ... -1.698 eV per atom

Cell lengths 5.752, 6.873, 9.257 Å; angles 90.02, 90.10, 90.76 degrees
Element x y z (fractional)
K 0.000 0.000 0.000
Na 0.500 0.500 0.268
Na 0.500 0.500 0.732
Ce 0.000 0.000 0.500
Cl 0.245 0.850 0.288
Cl 0.246 0.851 0.713
Cl 0.247 0.480 0.000
Cl 0.249 0.326 0.500
Cl 0.751 0.674 0.500
Cl 0.753 0.520 0.000
Cl 0.754 0.149 0.287
Cl 0.755 0.150 0.712